(1)
First-principles (GGA-PBE) data for an optimized crystal structure of Mo2Ir3, as listed in Alexandria.

Cell: 4.2294 4.2294 5.4346 Å, 90.00 90.00 120.00°
Last column: nearest neighbours and their distance in Å.
Fractional positions:
Mo: 0.3333 0.6667 0.3376  8 Ir 2.58-2.85
Mo: 0.6667 0.3333 0.6624  8 Ir 2.58-2.85
Ir: 0.0000 0.0000 0.5000  6 Mo 2.60
Ir: 0.3333 0.6667 0.8628  5 Mo 2.58-2.85, 3 Ir 2.86
Ir: 0.6667 0.3333 0.1372  5 Mo 2.58-2.85, 3 Ir 2.86

Results
- D(E_F): 6.937 states/eV per cell
- Final energy: -9.324 eV per atom


(2)
First-principles (GGA-PBE) data for an optimized crystal structure of Sb2IrPb, as listed in Alexandria.

Cell: 4.5867 4.5867 4.4779 Å, 90.00 90.00 90.00°
Last column: nearest neighbours and their distance in Å.
Fractional positions:
Sb: 0.0000 0.5000 0.0000  4 Pb 3.21, 4 Ir 3.21, 4 Sb 3.24
Sb: 0.5000 0.0000 0.0000  4 Pb 3.21, 4 Ir 3.21, 4 Sb 3.24
Ir: 0.0000 0.0000 0.5000  8 Sb 3.21, 4 Pb 3.24
Pb: 0.5000 0.5000 0.5000  8 Sb 3.21, 4 Ir 3.24

Results
- D(E_F): 2.026 states/eV per cell
- Raw formation energy: 490 meV/atom
- Final energy: -4.713 eV per atom


(3)
First-principles (GGA-PBE) data for an optimized crystal structure of NaTmHg2, as listed in Alexandria.

Cell: 3.6873 3.6873 27.7596 Å, 90.00 90.00 120.00°
Last column: nearest neighbours and their distance in Å.
Fractional positions:
Na: 0.0000 0.0000 0.0000  6 Hg 3.20-3.22
Na: 0.3333 0.6667 0.6667  6 Hg 3.20-3.22
Na: 0.6667 0.3333 0.3333  6 Hg 3.20-3.22
Tm: 0.0000 0.0000 0.8330  6 Hg 3.08
Tm: 0.3333 0.6667 0.4997  6 Hg 3.08
Tm: 0.6667 0.3333 0.1664  6 Hg 3.08
Hg: 0.0000 0.0000 0.2465  3 Tm 3.08, 3 Na 3.22
Hg: 0.0000 0.0000 0.4196  3 Tm 3.08, 3 Na 3.20
Hg: 0.3333 0.6667 0.0863  3 Tm 3.08, 3 Na 3.20
Hg: 0.3333 0.6667 0.9132  3 Tm 3.08, 3 Na 3.22
Hg: 0.6667 0.3333 0.5798  3 Tm 3.08, 3 Na 3.22
Hg: 0.6667 0.3333 0.7530  3 Tm 3.08, 3 Na 3.20

Results
- D(E_F): 7.548 states/eV per cell
- Final energy: -1.812 eV per atom


(4)
First-principles (GGA-PBE) data for an optimized crystal structure of ReSi2Pt, as listed in Alexandria.

Cell: 3.5863 3.5863 8.7967 Å, 90.00 90.00 90.00°
Last column: nearest neighbours and their distance in Å.
Fractional positions:
Re: 0.0000 0.0000 0.0000  8 Si 2.54-2.84, 4 Pt 2.84
Re: 0.5000 0.5000 0.5000  8 Si 2.54-2.84, 4 Pt 2.84
Si: 0.0000 0.0000 0.5000  4 Re 2.54, 4 Pt 2.84, 4 Si 2.84
Si: 0.0000 0.5000 0.7500  4 Pt 2.54, 4 Re 2.84, 4 Si 2.84
Si: 0.5000 0.0000 0.2500  4 Pt 2.54, 4 Re 2.84, 4 Si 2.84
Si: 0.5000 0.5000 0.0000  4 Re 2.54, 4 Pt 2.84, 4 Si 2.84
Pt: 0.0000 0.5000 0.2500  8 Si 2.54-2.84, 4 Re 2.84
Pt: 0.5000 0.0000 0.7500  8 Si 2.54-2.84, 4 Re 2.84

Results
- D(E_F): 4.752 states/eV per cell
- Raw formation energy: -34 meV/atom
- Final energy: -7.368 eV per atom


(5)
First-principles (GGA-PBE) data for an optimized crystal structure of ZnNiAu2, as listed in Alexandria.

Cell: 2.8724 2.8724 26.2387 Å, 90.00 90.00 120.00°
Last column: nearest neighbours and their distance in Å.
Fractional positions:
Zn: 0.0000 0.0000 0.0000  6 Au 2.79, 6 Zn 2.87
Zn: 0.3333 0.6667 0.6667  6 Au 2.79, 6 Zn 2.87
Zn: 0.6667 0.3333 0.3333  6 Au 2.79, 6 Zn 2.87
Ni: 0.0000 0.0000 0.5000  6 Au 2.70, 6 Ni 2.87
Ni: 0.3333 0.6667 0.1667  6 Au 2.70, 6 Ni 2.87
Ni: 0.6667 0.3333 0.8333  6 Au 2.70, 6 Ni 2.87
Au: 0.0000 0.0000 0.2478  3 Ni 2.70, 3 Zn 2.79, 6 Au 2.87
Au: 0.0000 0.0000 0.7522  3 Ni 2.70, 3 Zn 2.79, 6 Au 2.87
Au: 0.3333 0.6667 0.4189  3 Ni 2.70, 3 Zn 2.79, 6 Au 2.87
Au: 0.3333 0.6667 0.9144  3 Ni 2.70, 3 Zn 2.79, 6 Au 2.87
Au: 0.6667 0.3333 0.0856  3 Ni 2.70, 3 Zn 2.79, 6 Au 2.87
Au: 0.6667 0.3333 0.5811  3 Ni 2.70, 3 Zn 2.79, 6 Au 2.87

Results
- D(E_F): 4.345 states/eV per cell
- Final energy: -3.380 eV per atom


(6)
First-principles (GGA-PBE) data for an optimized crystal structure of Ce12Ga6Ir, as listed in Alexandria.

Cell: 7.6139 7.6139 7.6139 Å, 88.47 88.47 88.47°
Last column: nearest neighbours and their distance in Å.
Fractional positions:
Ce: 0.0043 0.0853 0.7090  2 Ce 2.78
Ce: 0.0853 0.7090 0.0043  2 Ce 2.78
Ce: 0.1306 0.4325 0.3542  3 Ce 2.88-3.12, 1 Ir 3.11, 3 Ga 3.20-3.22
Ce: 0.2910 0.9957 0.9147  2 Ce 2.78
Ce: 0.3542 0.1306 0.4325  3 Ce 2.88-3.12, 1 Ir 3.11, 3 Ga 3.20-3.22
Ce: 0.4325 0.3542 0.1306  3 Ce 2.88-3.12, 1 Ir 3.11, 3 Ga 3.20-3.22
Ce: 0.5675 0.6458 0.8694  3 Ce 2.88-3.12, 1 Ir 3.11, 3 Ga 3.20-3.22
Ce: 0.6458 0.8694 0.5675  3 Ce 2.88-3.12, 1 Ir 3.11, 3 Ga 3.20-3.22
Ce: 0.7090 0.0043 0.0853  2 Ce 2.78
Ce: 0.8694 0.5675 0.6458  3 Ce 2.88-3.12, 1 Ir 3.11, 3 Ga 3.20-3.22
Ce: 0.9147 0.2910 0.9957  2 Ce 2.78
Ce: 0.9957 0.9147 0.2910  2 Ce 2.78
Ga: 0.2470 0.7453 0.5954  1 Ir 2.74, 2 Ga 2.83
Ga: 0.2547 0.4046 0.7530  1 Ir 2.74, 2 Ga 2.83
Ga: 0.4046 0.7530 0.2547  1 Ir 2.74, 2 Ga 2.83
Ga: 0.5954 0.2470 0.7453  1 Ir 2.74, 2 Ga 2.83
Ga: 0.7453 0.5954 0.2470  1 Ir 2.74, 2 Ga 2.83
Ga: 0.7530 0.2547 0.4046  1 Ir 2.74, 2 Ga 2.83
Ir: 0.5000 0.5000 0.5000  6 Ga 2.74

Results
- D(E_F): 45.694 states/eV per cell
- Final energy: -5.470 eV per atom


(7)
First-principles (GGA-PBE) data for an optimized crystal structure of TmVB4, as listed in Alexandria.

Cell: 5.9698 11.5523 3.4081 Å, 90.00 90.00 90.00°
Last column: nearest neighbours and their distance in Å.
Fractional positions:
Tm: 0.1243 0.1516 0.0000  14 B 2.60-2.75
Tm: 0.3757 0.6516 0.0000  14 B 2.60-2.75
Tm: 0.6243 0.3484 0.0000  14 B 2.60-2.75
Tm: 0.8757 0.8484 0.0000  14 B 2.60-2.75
V: 0.1280 0.4168 0.0000  10 B 2.28-2.31, 1 V 2.46
V: 0.3720 0.9168 0.0000  10 B 2.28-2.31, 1 V 2.46
V: 0.6280 0.0832 0.0000  10 B 2.28-2.31, 1 V 2.46
V: 0.8720 0.5832 0.0000  10 B 2.28-2.31, 1 V 2.46
B: 0.0225 0.6931 0.5000  3 B 1.77-1.85
B: 0.1154 0.5480 0.5000  3 B 1.76-1.77
B: 0.1344 0.9676 0.5000  3 B 1.76-1.84
B: 0.2123 0.8140 0.5000  3 B 1.80-1.85
B: 0.2877 0.3140 0.5000  3 B 1.80-1.85
B: 0.3656 0.4676 0.5000  3 B 1.76-1.84
B: 0.3846 0.0480 0.5000  3 B 1.76-1.77
B: 0.4775 0.1931 0.5000  3 B 1.77-1.85
B: 0.5225 0.8069 0.5000  3 B 1.77-1.85
B: 0.6154 0.9520 0.5000  3 B 1.76-1.77
B: 0.6344 0.5324 0.5000  3 B 1.76-1.84
B: 0.7123 0.6860 0.5000  3 B 1.80-1.85
B: 0.7877 0.1860 0.5000  3 B 1.80-1.85
B: 0.8656 0.0324 0.5000  3 B 1.76-1.84
B: 0.8846 0.4520 0.5000  3 B 1.76-1.77
B: 0.9775 0.3069 0.5000  3 B 1.77-1.85

Results
- D(E_F): 5.562 states/eV per cell
- Final energy: -7.456 eV per atom


(8)
First-principles (GGA-PBE) data for an optimized crystal structure of SrSeO4F, as listed in Alexandria.

Cell: 6.3599 6.3599 7.1417 Å, 100.91 100.91 75.91°
Last column: nearest neighbours and their distance in Å.
Fractional positions:
Sr: 0.2046 0.2046 0.1290  2 F 2.39-2.40, 4 O 2.58-2.62
Sr: 0.7954 0.7954 0.8710  2 F 2.39-2.40, 4 O 2.58-2.62
Se: 0.3562 0.3562 0.7354  4 O 1.66-1.67
Se: 0.6438 0.6438 0.2646  4 O 1.66-1.67
O: 0.1376 0.4773 0.8450  1 Se 1.67
O: 0.2851 0.2851 0.5003  1 Se 1.66
O: 0.4732 0.4732 0.2318  1 Se 1.67
O: 0.4773 0.1376 0.8450  1 Se 1.67
O: 0.5227 0.8624 0.1550  1 Se 1.67
O: 0.5268 0.5268 0.7682  1 Se 1.67
O: 0.7149 0.7149 0.4997  1 Se 1.66
O: 0.8624 0.5227 0.1550  1 Se 1.67
F: 0.0262 0.0262 0.8367  2 Sr 2.39-2.40, 1 F 2.51
F: 0.9738 0.9738 0.1633  2 Sr 2.39-2.40, 1 F 2.51

Results
- D(E_F): 13.324 states/eV per cell
- Raw formation energy: -1467 meV/atom
- Final energy: -5.306 eV per atom


(9)
First-principles (GGA-PBE) data for an optimized crystal structure of NaAgBi3, as listed in Alexandria.

Cell: 6.6512 6.7384 9.6980 Å, 90.00 133.23 90.00°
Last column: nearest neighbours and their distance in Å.
Fractional positions:
Na: 0.0000 0.2342 0.0000  1 Ag 3.14, 1 Bi 3.42
Na: 0.0000 0.7658 0.5000  1 Ag 3.14, 1 Bi 3.42
Ag: 0.6825 0.4230 0.5026  5 Bi 2.91-2.96, 1 Na 3.14
Ag: 0.6825 0.5770 0.0026  5 Bi 2.91-2.96, 1 Na 3.14
Bi: 0.2510 0.2725 0.7544  2 Ag 2.94-2.96, 2 Bi 3.21-3.29
Bi: 0.2510 0.7275 0.2544  2 Ag 2.94-2.96, 2 Bi 3.21-3.29
Bi: 0.3774 0.1112 0.5001  1 Ag 2.91, 2 Bi 3.21
Bi: 0.3774 0.8888 0.0001  1 Ag 2.91, 2 Bi 3.21
Bi: 0.7439 0.2705 0.2484  2 Ag 2.95-2.96, 2 Bi 3.21-3.28
Bi: 0.7439 0.7295 0.7484  2 Ag 2.95-2.96, 2 Bi 3.21-3.28

Results
- D(E_F): 4.573 states/eV per cell
- Final energy: -3.208 eV per atom


(10)
First-principles (GGA-PBE) data for an optimized crystal structure of Re2NiW, as listed in Alexandria.

Cell: 2.7515 2.7515 26.7002 Å, 90.00 90.00 120.00°
Last column: nearest neighbours and their distance in Å.
Fractional positions:
Re: 0.0000 0.0000 0.0000  9 Re 2.70-2.75, 3 W 2.87
Re: 0.0000 0.0000 0.2514  3 Ni 2.69, 9 Re 2.70-2.75
Re: 0.3333 0.6667 0.6667  9 Re 2.70-2.75, 3 W 2.87
Re: 0.3333 0.6667 0.9180  3 Ni 2.69, 9 Re 2.70-2.75
Re: 0.6667 0.3333 0.3333  9 Re 2.70-2.75, 3 W 2.87
Re: 0.6667 0.3333 0.5847  3 Ni 2.69, 9 Re 2.70-2.75
Ni: 0.0000 0.0000 0.5036  3 W 2.68, 3 Re 2.69, 6 Ni 2.75
Ni: 0.3333 0.6667 0.1702  3 W 2.68, 3 Re 2.69, 6 Ni 2.75
Ni: 0.6667 0.3333 0.8369  3 W 2.68, 3 Re 2.69, 6 Ni 2.75
W: 0.0000 0.0000 0.7560  3 Ni 2.68, 6 W 2.75, 3 Re 2.87
W: 0.3333 0.6667 0.4227  3 Ni 2.68, 6 W 2.75, 3 Re 2.87
W: 0.6667 0.3333 0.0893  3 Ni 2.68, 6 W 2.75, 3 Re 2.87

Results
- D(E_F): 10.820 states/eV per cell
- Final energy: -10.748 eV per atom


(11)
First-principles (GGA-PBE) data for an optimized crystal structure of Rb3CuBr, as listed in Alexandria.

Cell: 6.5961 6.5961 6.5961 Å, 90.00 90.00 90.00°
Last column: nearest neighbours and their distance in Å.
Fractional positions:
Rb: 0.0000 0.0000 0.5000  2 Br 3.30
Rb: 0.0000 0.5000 0.0000  2 Br 3.30
Rb: 0.5000 0.0000 0.0000  2 Br 3.30
Cu: 0.5000 0.5000 0.5000  12 Rb 4.66
Br: 0.0000 0.0000 0.0000  6 Rb 3.30

Results
- D(E_F): 4.078 states/eV per cell
- Raw formation energy: -326 meV/atom
- Final energy: -2.060 eV per atom


(12)
First-principles (GGA-PBE) data for an optimized crystal structure of Ca2Ga2Pd3, as listed in Alexandria.

Cell: 10.8128 3.8947 7.2373 Å, 90.00 113.84 90.00°
Last column: nearest neighbours and their distance in Å.
Fractional positions:
Ca: 0.1256 0.0000 0.2602  4 Ga 3.01-3.27, 6 Pd 3.03-3.25
Ca: 0.3744 0.5000 0.7398  4 Ga 3.01-3.27, 6 Pd 3.03-3.25
Ca: 0.6256 0.5000 0.2602  4 Ga 3.01-3.27, 6 Pd 3.03-3.25
Ca: 0.8744 0.0000 0.7398  4 Ga 3.01-3.27, 6 Pd 3.03-3.25
Ga: 0.1483 0.0000 0.7253  5 Pd 2.56-2.63
Ga: 0.3517 0.5000 0.2747  5 Pd 2.56-2.63
Ga: 0.6483 0.5000 0.7253  5 Pd 2.56-2.63
Ga: 0.8517 0.0000 0.2747  5 Pd 2.56-2.63
Pd: 0.0000 0.5000 0.5000  4 Ga 2.63, 2 Pd 2.93
Pd: 0.1310 0.5000 0.9427  3 Ga 2.56-2.61
Pd: 0.3690 0.0000 0.0573  3 Ga 2.56-2.61
Pd: 0.5000 0.0000 0.5000  4 Ga 2.63, 2 Pd 2.93
Pd: 0.6310 0.0000 0.9427  3 Ga 2.56-2.61
Pd: 0.8690 0.5000 0.0573  3 Ga 2.56-2.61

Results
- D(E_F): 6.857 states/eV per cell
- Final energy: -4.380 eV per atom


(13)
First-principles (GGA-PBE) data for an optimized crystal structure of SrAcLaSn, as listed in Alexandria.

Cell: 8.3229 8.3229 8.3229 Å, 90.00 90.00 90.00°
Last column: nearest neighbours and their distance in Å.
Fractional positions:
Sr: 0.0000 0.0000 0.0000  4 La 3.60, 4 Ac 3.60
Sr: 0.0000 0.5000 0.5000  4 La 3.60, 4 Ac 3.60
Sr: 0.5000 0.0000 0.5000  4 La 3.60, 4 Ac 3.60
Sr: 0.5000 0.5000 0.0000  4 La 3.60, 4 Ac 3.60
Ac: 0.2500 0.2500 0.7500  4 Sr 3.60, 4 Sn 3.60
Ac: 0.2500 0.7500 0.2500  4 Sr 3.60, 4 Sn 3.60
Ac: 0.7500 0.2500 0.2500  4 Sr 3.60, 4 Sn 3.60
Ac: 0.7500 0.7500 0.7500  4 Sr 3.60, 4 Sn 3.60
La: 0.2500 0.2500 0.2500  4 Sn 3.60, 4 Sr 3.60
La: 0.2500 0.7500 0.7500  4 Sn 3.60, 4 Sr 3.60
La: 0.7500 0.2500 0.7500  4 Sn 3.60, 4 Sr 3.60
La: 0.7500 0.7500 0.2500  4 Sn 3.60, 4 Sr 3.60
Sn: 0.0000 0.0000 0.5000  4 Ac 3.60, 4 La 3.60
Sn: 0.0000 0.5000 0.0000  4 Ac 3.60, 4 La 3.60
Sn: 0.5000 0.0000 0.0000  4 Ac 3.60, 4 La 3.60
Sn: 0.5000 0.5000 0.5000  4 Ac 3.60, 4 La 3.60

Results
- D(E_F): 24.398 states/eV per cell
- Final energy: -3.864 eV per atom


(14)
First-principles (GGA-PBE) data for an optimized crystal structure of La2SnPbC, as listed in Alexandria.

Cell: 6.1299 6.1299 5.5060 Å, 90.00 90.00 90.00°
Last column: nearest neighbours and their distance in Å.
Fractional positions:
La: 0.0000 0.5000 0.0000  2 Pb 3.06
La: 0.5000 0.0000 0.0000  2 Pb 3.06
Sn: 0.0000 0.0000 0.5000  2 Pb 2.75
Pb: 0.0000 0.0000 0.0000  2 Sn 2.75, 4 La 3.06
C: 0.5000 0.5000 0.5000  8 La 4.12, 4 Sn 4.33

Results
- D(E_F): 6.175 states/eV per cell
- Final energy: -3.826 eV per atom


(15)
First-principles (GGA-PBE) data for an optimized crystal structure of Pu3O2, as listed in Alexandria.

Cell: 6.6751 6.6751 6.6751 Å, 55.19 55.19 55.19°
Last column: nearest neighbours and their distance in Å.
Fractional positions:
Pu: 0.0822 0.7500 0.4178  4 O 2.46-2.54
Pu: 0.2500 0.5822 0.9178  4 O 2.46-2.54
Pu: 0.4178 0.0822 0.7500  4 O 2.46-2.54
Pu: 0.5822 0.9178 0.2500  4 O 2.46-2.54
Pu: 0.7500 0.4178 0.0822  4 O 2.46-2.54
Pu: 0.9178 0.2500 0.5822  4 O 2.46-2.54
O: 0.1621 0.1621 0.1621  6 Pu 2.46-2.54
O: 0.3379 0.3379 0.3379  6 Pu 2.46-2.54
O: 0.6621 0.6621 0.6621  6 Pu 2.46-2.54
O: 0.8379 0.8379 0.8379  6 Pu 2.46-2.54

Results
- D(E_F): 35.844 states/eV per cell
- Raw formation energy: -1820 meV/atom
- Final energy: -12.403 eV per atom


(16)
First-principles (GGA-PBE) data for an optimized crystal structure of HfCd2BiO6, as listed in Alexandria.

Cell: 5.9754 5.9754 5.9754 Å, 57.22 57.22 57.22°
Last column: nearest neighbours and their distance in Å.
Fractional positions:
Hf: 0.0000 0.0000 0.0000  6 O 2.07-2.15
Cd: 0.2210 0.2210 0.2210  6 O 2.27-2.52
Cd: 0.7215 0.7215 0.7215  3 O 2.24
Bi: 0.4991 0.4991 0.4991  6 O 2.24-2.32
O: 0.1200 0.3644 0.7938  1 Hf 2.15, 1 Bi 2.24, 1 Cd 2.24
O: 0.2657 0.8843 0.6437  1 Hf 2.07, 1 Cd 2.27, 1 Bi 2.32
O: 0.3644 0.7938 0.1200  1 Hf 2.15, 1 Bi 2.24, 1 Cd 2.24
O: 0.6437 0.2657 0.8843  1 Hf 2.07, 1 Cd 2.27, 1 Bi 2.32
O: 0.7938 0.1200 0.3644  1 Hf 2.15, 1 Bi 2.24, 1 Cd 2.24
O: 0.8843 0.6437 0.2657  1 Hf 2.07, 1 Cd 2.27, 1 Bi 2.32

Results
- D(E_F): 4.346 states/eV per cell
- Raw formation energy: -1737 meV/atom
- Final energy: -6.279 eV per atom


(17)
First-principles (GGA-PBE) data for an optimized crystal structure of BaTlHgPt, as listed in Alexandria.

Cell: 7.6787 7.6787 7.6787 Å, 90.00 90.00 90.00°
Last column: nearest neighbours and their distance in Å.
Fractional positions:
Ba: 0.0000 0.0000 0.0000  4 Hg 3.32, 4 Pt 3.32
Ba: 0.0000 0.5000 0.5000  4 Hg 3.32, 4 Pt 3.32
Ba: 0.5000 0.0000 0.5000  4 Hg 3.32, 4 Pt 3.32
Ba: 0.5000 0.5000 0.0000  4 Hg 3.32, 4 Pt 3.32
Tl: 0.0000 0.0000 0.5000  4 Pt 3.32, 4 Hg 3.32
Tl: 0.0000 0.5000 0.0000  4 Pt 3.32, 4 Hg 3.32
Tl: 0.5000 0.0000 0.0000  4 Pt 3.32, 4 Hg 3.32
Tl: 0.5000 0.5000 0.5000  4 Pt 3.32, 4 Hg 3.32
Hg: 0.2500 0.2500 0.7500  4 Tl 3.32, 4 Ba 3.32
Hg: 0.2500 0.7500 0.2500  4 Tl 3.32, 4 Ba 3.32
Hg: 0.7500 0.2500 0.2500  4 Tl 3.32, 4 Ba 3.32
Hg: 0.7500 0.7500 0.7500  4 Tl 3.32, 4 Ba 3.32
Pt: 0.2500 0.2500 0.2500  4 Ba 3.32, 4 Tl 3.32
Pt: 0.2500 0.7500 0.7500  4 Ba 3.32, 4 Tl 3.32
Pt: 0.7500 0.2500 0.7500  4 Ba 3.32, 4 Tl 3.32
Pt: 0.7500 0.7500 0.2500  4 Ba 3.32, 4 Tl 3.32

Results
- D(E_F): 14.849 states/eV per cell
- Final energy: -2.952 eV per atom


(18)
First-principles (GGA-PBE) data for an optimized crystal structure of MgZnMo2, as listed in Alexandria.

Cell: 2.6952 2.6952 8.9395 Å, 90.00 90.00 90.00°
Last column: nearest neighbours and their distance in Å.
Fractional positions:
Mg: 0.0000 0.0000 0.0000  4 Mg 2.70, 4 Zn 2.94, 4 Mo 2.99
Zn: 0.5000 0.5000 0.7493  4 Zn 2.70, 4 Mo 2.81, 4 Mg 2.94
Mo: 0.0000 0.0000 0.5181  8 Mo 2.70-3.01, 4 Zn 2.81
Mo: 0.5000 0.5000 0.2574  8 Mo 2.70-3.01, 4 Mg 2.99

Results
- D(E_F): 2.761 states/eV per cell
- Final energy: -5.899 eV per atom